Record 1
# RbCuAsCl6 (GGA-PBE, optimized geometry)
# **Formation energy without anion corrections**: -0.89 eV/atom
# **Total DFT energy (no corrections)**: -3.20 eV per atom
data_RbCuAsCl6
_symmetry_space_group_name_H-M 'P 1'
_symmetry_Int_Tables_number 1
_cell_length_a 6.654
_cell_length_b 6.826
_cell_length_c 7.262
_cell_angle_alpha 87.33
_cell_angle_beta 62.82
_cell_angle_gamma 83.97
loop_
_symmetry_equiv_pos_as_xyz
'x,y,z'
loop_
_atom_site_label
_atom_site_type_symbol
_atom_site_fract_x
_atom_site_fract_y
_atom_site_fract_z
_atom_site_occupancy
Rb1 Rb 0.000 0.000 0.000 1
Cu1 Cu 0.719 0.500 0.564 1
As1 As 0.326 0.500 0.348 1
Cl1 Cl 0.328 0.301 0.103 1
Cl2 Cl 0.403 0.699 0.642 1
Cl3 Cl 0.571 0.699 0.103 1
Cl4 Cl 0.610 0.262 0.419 1
Cl5 Cl 0.957 0.302 0.643 1
Cl6 Cl 0.973 0.739 0.419 1

***

Record 2
# RbCuAs2Cl8 (GGA-PBE, optimized geometry)
# **Formation energy without anion corrections**: -0.84 eV/atom
# **Total DFT energy (no corrections)**: -3.26 eV per atom
data_RbCuAs2Cl8
_symmetry_space_group_name_H-M 'C 1 2/m 1'
_symmetry_Int_Tables_number 12
_cell_length_a 9.826
_cell_length_b 10.100
_cell_length_c 9.719
_cell_angle_alpha 90.00
_cell_angle_beta 117.43
_cell_angle_gamma 90.00
loop_
_symmetry_equiv_pos_as_xyz
'x,y,z'
'-x,-y,-z'
'-x,y,-z'
'x,-y,z'
'x+1/2,y+1/2,z'
'-x+1/2,-y+1/2,-z'
'-x+1/2,y+1/2,-z'
'x+1/2,-y+1/2,z'
loop_
_atom_site_label
_atom_site_type_symbol
_atom_site_fract_x
_atom_site_fract_y
_atom_site_fract_z
_atom_site_occupancy
Rb1 Rb 0.000 0.000 0.000 1
Cu1 Cu 0.000 0.000 0.500 1
As1 As 0.030 0.500 0.314 1
Cl1 Cl 0.128 0.332 0.811 1
Cl2 Cl 0.142 0.000 0.389 1
Cl3 Cl 0.166 0.500 0.188 1

***

Record 3
# RbCu2AsCl8 (GGA-PBE, optimized geometry)
# **Formation energy without anion corrections**: -0.74 eV/atom
# **Total DFT energy (no corrections)**: -3.12 eV per atom
data_RbCu2AsCl8
_symmetry_space_group_name_H-M 'C 1 2/m 1'
_symmetry_Int_Tables_number 12
_cell_length_a 10.106
_cell_length_b 7.185
_cell_length_c 9.708
_cell_angle_alpha 90.00
_cell_angle_beta 90.37
_cell_angle_gamma 90.00
loop_
_symmetry_equiv_pos_as_xyz
'x,y,z'
'-x,-y,-z'
'-x,y,-z'
'x,-y,z'
'x+1/2,y+1/2,z'
'-x+1/2,-y+1/2,-z'
'-x+1/2,y+1/2,-z'
'x+1/2,-y+1/2,z'
loop_
_atom_site_label
_atom_site_type_symbol
_atom_site_fract_x
_atom_site_fract_y
_atom_site_fract_z
_atom_site_occupancy
Rb1 Rb 0.000 0.000 0.000 1
Cu1 Cu 0.149 0.500 0.293 1
As1 As 0.000 0.000 0.500 1
Cl1 Cl 0.009 0.238 0.318 1
Cl2 Cl 0.174 0.500 0.071 1
Cl3 Cl 0.242 0.000 0.507 1